# 1
Entry from Alexandria via LeMat-Bulk: a relaxed structure of MgPbAu2 (GGA-PBE).

E	-3.184	eV per atom
DFT formation energy	-0.220	eV/atom
ρ	12.09	Mg/m³
space group	P4/mmm (123)

a = 4.7999 Å, b = 4.7999 Å, c = 3.7277 Å
α = 90.00°, β = 90.00°, γ = 90.00°
Closest atoms and distances in Å follow each position.
Fractional coordinates of all 4 atoms:
Au 0.0000 0.0000 0.0000  4 Mg 3.04, 4 Pb 3.04, 4 Au 3.39
Au 0.5000 0.5000 0.0000  4 Pb 3.04, 4 Mg 3.04, 4 Au 3.39
Mg 0.5000 0.0000 0.5000  8 Au 3.04, 4 Pb 3.39
Pb 0.0000 0.5000 0.5000  8 Au 3.04, 4 Mg 3.39

---

# 2
Entry from Alexandria via LeMat-Bulk: a relaxed structure of LiCa2Pb3 (GGA-PBE).

E	-3.189	eV per atom
energy relative to the lowest polymorph listed for this composition	80	meV/atom
DFT formation energy	-0.349	eV/atom
ρ	6.81	Mg/m³
space group	Fmmm (69)

a = 6.3891 Å, b = 6.3891 Å, c = 9.6650 Å
α = 103.12°, β = 103.12°, γ = 108.26°
Closest atoms and distances in Å follow each position.
Fractional coordinates of all 12 atoms:
Li 0.6675 0.6675 0.3350  3 Pb 2.83-2.85
Li 0.3325 0.3325 0.6650  3 Pb 2.83-2.85
Ca 0.2500 0.7500 0.5000  8 Pb 3.46-3.47, 4 Li 3.52, 2 Ca 3.74
Ca 0.7619 0.7619 0.0000  10 Pb 3.51-3.60, 2 Ca 3.57-3.92, 2 Li 3.57
Ca 0.7500 0.2500 0.5000  8 Pb 3.46-3.47, 4 Li 3.52, 2 Ca 3.74
Ca 0.2381 0.2381 0.0000  10 Pb 3.51-3.60, 2 Ca 3.57-3.92, 2 Li 3.57
Pb 0.3497 0.8243 0.1739  1 Li 2.85, 2 Pb 3.10-3.13
Pb 0.1757 0.6503 0.8261  1 Li 2.85, 2 Pb 3.10-3.13
Pb 0.6503 0.1757 0.8261  1 Li 2.85, 2 Pb 3.10-3.13
Pb 0.8243 0.3497 0.1739  1 Li 2.85, 2 Pb 3.10-3.13
Pb 0.1735 0.1735 0.3470  1 Li 2.83, 2 Pb 3.13
Pb 0.8265 0.8265 0.6530  1 Li 2.83, 2 Pb 3.13

---

# 3
Entry from Alexandria via LeMat-Bulk: a relaxed structure of FeCu2Pb (GGA-PBE).

E	-4.708	eV per atom
DFT formation energy	0.383	eV/atom
ρ	10.00	Mg/m³
space group	P4mm (99)

a = 3.0883 Å, b = 3.0883 Å, c = 6.7897 Å
α = 90.00°, β = 90.00°, γ = 90.00°
Closest atoms and distances in Å follow each position.
Fractional coordinates of all 4 atoms:
Cu 0.0000 0.0000 0.0614  4 Cu 2.52, 1 Fe 2.59
Cu 0.5000 0.5000 0.2468  4 Cu 2.52, 4 Fe 2.56
Fe 0.0000 0.0000 0.4434  5 Cu 2.56-2.59
Pb 0.5000 0.5000 0.7484  4 Fe 3.01, 4 Cu 3.05, 4 Pb 3.09

---

# 4
Entry from Alexandria via LeMat-Bulk: a relaxed structure of Sc3TcO (GGA-PBE).

E_form (uncorrected)	-1.212	eV/atom
E	-8.075	eV per atom
energy relative to the lowest polymorph listed for this composition	111	meV/atom
ρ	4.41	Mg/m³
space group	P2_1/m (11)

a = 3.3492 Å, b = 7.4638 Å, c = 7.6901 Å
α = 90.00°, β = 102.70°, γ = 90.00°
Closest atoms and distances in Å follow each position.
Fractional coordinates of all 10 atoms:
Sc 0.8381 0.4659 0.1784  1 O 2.14
Sc 0.1619 0.5341 0.8216  1 O 2.14
Sc 0.8381 0.0341 0.1784  1 O 2.14
Sc 0.1619 0.9659 0.8216  1 O 2.14
Sc 0.5128 0.2500 0.5252  2 O 2.05
Sc 0.4872 0.7500 0.4748  2 O 2.05
Tc 0.6887 0.2500 0.8732  7 Sc 2.61-2.80
Tc 0.3113 0.7500 0.1268  7 Sc 2.61-2.80
O 0.9328 0.2500 0.3666  4 Sc 2.05-2.14
O 0.0672 0.7500 0.6334  4 Sc 2.05-2.14

---

# 5
Entry from Alexandria via LeMat-Bulk: a relaxed structure of Rb2CrCo (GGA-PBE).

E	-3.633	eV per atom
energy relative to the lowest polymorph listed for this composition	0	meV/atom
DFT formation energy	1.034	eV/atom
ρ	2.41	Mg/m³
space group	I-42d (122)

a = 13.0969 Å, b = 13.0969 Å, c = 9.5331 Å
α = 46.61°, β = 46.61°, γ = 90.00°
Closest atoms and distances in Å follow each position.
Fractional coordinates of all 8 atoms:
Cr 0.5000 0.5000 0.0000  2 Co 2.26
Cr 0.2500 0.7500 0.5000  2 Co 2.26
Co 0.0000 0.0000 0.0000  2 Cr 2.26
Co 0.7500 0.2500 0.5000  2 Cr 2.26
Rb 0.8095 0.1250 0.2500  2 Co 3.43, 2 Cr 3.79
Rb 0.9405 0.6250 0.2500  2 Co 3.43, 2 Cr 3.79
Rb 0.3750 0.1905 0.7500  2 Co 3.43, 2 Cr 3.79
Rb 0.8750 0.0595 0.7500  2 Co 3.43, 2 Cr 3.79

---

# 6
Entry from Alexandria via LeMat-Bulk: a relaxed structure of FeHgCl (GGA-PBE).

E_form (uncorrected)	0.405	eV/atom
E	-3.132	eV per atom
energy relative to the lowest polymorph listed for this composition	436	meV/atom
ρ	7.22	Mg/m³
space group	F-43m (216)

a = 4.5616 Å, b = 4.5616 Å, c = 4.5616 Å
α = 60.00°, β = 60.00°, γ = 60.00°
Closest atoms and distances in Å follow each position.
Fractional coordinates of all 3 atoms:
Cl 0.5000 0.5000 0.5000  4 Fe 2.79
Hg 0.0000 0.0000 0.0000  4 Fe 2.79
Fe 0.2500 0.2500 0.2500  4 Cl 2.79, 4 Hg 2.79